[1]
# CoW3

A geometry-optimized CoW3 structure (PBE, the Alexandria database).

The calculation puts the volume at 60.4 Å³ per cell. For the formation energy, the calculation gives 0.20 eV/atom. As for the energy relative to the lowest polymorph listed for this composition: 0.113 eV per atom. The value obtained for the total magnetization is 1.6 μB/f.u. Its final energy is -11.295 eV per atom.

Cell: 2.696 4.402 5.153 Å, 90.00 80.68 90.00°
Site moments in Bohr magnetons follow the coordinates.
Atoms (fractional coordinates):
W: 0.249 0.500 0.246  0.08
Co: 0.000 0.000 0.000  1.38
W: 0.500 0.000 0.500  0.08
W: 0.751 0.500 0.754  0.08

[2]
# SrLi2Tl

A geometry-optimized SrLi2Tl structure (PBE, the Alexandria database).

The calculation puts the volume at 118.6 Å³ per cell. For the formation energy, the calculation gives -0.13 eV/atom. The value obtained for the total magnetization is 0.0 μB/f.u. Its final energy is -2.101 eV per atom.

Cell: 4.685 3.859 6.838 Å, 73.55 90.00 90.00°
Atoms (fractional coordinates):
Tl: 0.500 0.916 0.792
Li: 0.000 0.805 0.017
Sr: 0.000 0.542 0.540
Li: 0.500 0.237 0.151

[3]
# Y6Ho2Er3Mg

A geometry-optimized Y6Ho2Er3Mg structure (PBE, the Alexandria database).

The calculation puts the volume at 371.8 Å³ per cell. For the formation energy, the calculation gives 0.04 eV/atom. The value obtained for the total magnetization is 0.0 μB/f.u. Its final energy is -5.234 eV per atom.

Cell: 6.117 6.117 11.660 Å, 95.05 95.05 120.02°
Atoms (fractional coordinates):
Mg: 0.000 0.000 0.000
Y: 0.749 0.749 0.250
Y: 0.415 0.082 0.249
Y: 0.082 0.415 0.249
Y: 0.251 0.251 0.750
Er: 0.500 0.500 0.500
Er: 0.834 0.166 0.500
Er: 0.166 0.834 0.500
Y: 0.918 0.585 0.751
Ho: 0.666 0.334 0.000
Y: 0.585 0.918 0.751
Ho: 0.334 0.666 0.000